Compound: LiNd2Hg2
Source: Alexandria via LeMat-Bulk
Functional: GGA-PBE
Structure: optimized geometry

abc: 6.294 6.622 8.095
angles: 114.14 112.88 90.00
Fractional coordinates of all 10 atoms:
Nd 0.148 0.337 0.296
Li 0.250 0.500 0.000
Li 0.750 0.500 0.000
Hg 0.883 0.170 0.766
Hg 0.617 0.405 0.234
Nd 0.648 0.959 0.296
Hg 0.117 0.830 0.234
Nd 0.352 0.041 0.704
Nd 0.852 0.663 0.704
Hg 0.383 0.595 0.766

Calculated values
calculated total energy = -2.6668 eV/atom
E_form = -0.256 eV per atom
spin magnetization = 0.0000 μB/atom